# Ba2V3F10 PBE with a Hubbard U relaxed
data_Ba2V3F10
_chemical_formula_sum 'Ba8 V12 F40'
_space_group_name_H-M_alt 'C 1 2/m 1'
_space_group_IT_number 12
_space_group_name_Hall '-C 2y'
_cell_length_a 19.2107
_cell_length_b 6.2703
_cell_length_c 8.0461
_cell_angle_alpha 90.00
_cell_angle_beta 111.04
_cell_angle_gamma 90.00
loop_
_atom_site_label
_atom_site_fract_x
_atom_site_fract_y
_atom_site_fract_z
Ba1 0.1141 0.0000 0.2149
Ba2 0.2186 0.0000 0.8207
V1 0.0000 0.2450 0.5000
V2 0.0757 0.5000 0.9620
V3 0.1793 0.5000 0.5214
F1 0.0000 0.2663 0.0000
F2 0.0129 0.0000 0.6864
F3 0.0182 0.5000 0.6834
F4 0.1142 0.2337 0.5330
F5 0.1351 0.5000 0.2415
F6 0.1524 0.2569 0.9768
F7 0.2406 0.5000 0.7918
F8 0.2500 0.2500 0.5000
# VASP energy = -6.1326 eV/atom